(1)
CdInAg2 | PBE | optimized geometry

The value obtained for the calculated density is 9.04 g/cm3. For the formation energy from the elements, the calculation gives 0.011 eV/atom.

a = 9.9892 Å, b = 3.0611 Å, c = 5.3822 Å
α = 90.00°, β = 98.65°, γ = 90.00°
With the nearest neighbours (Å) after each atom.
Fractional positions:
Cd 0.0000 0.0000 0.0000  7 Ag 2.95-3.19, 2 Cd 3.06, 3 In 3.07-3.20
Cd 0.5000 0.5000 0.0000  7 Ag 2.95-3.19, 2 Cd 3.06, 3 In 3.07-3.20
In 0.2414 0.0000 0.7082  7 Ag 2.95-3.15, 2 In 3.06, 3 Cd 3.07-3.20
In 0.7414 0.5000 0.7082  7 Ag 2.95-3.15, 2 In 3.06, 3 Cd 3.07-3.20
Ag 0.2478 0.5000 0.2219  3 Cd 2.95-3.00, 5 Ag 3.02-3.09, 4 In 3.04-3.15
Ag 0.4912 0.0000 0.4779  3 In 2.95-3.03, 4 Cd 3.01-3.19, 5 Ag 3.02-3.09
Ag 0.7478 0.0000 0.2219  3 Cd 2.95-3.00, 5 Ag 3.02-3.09, 4 In 3.04-3.15
Ag 0.9912 0.5000 0.4779  3 In 2.95-3.03, 4 Cd 3.01-3.19, 5 Ag 3.02-3.09


(2)
NaPmMgCl6 | PBE | optimized geometry

The value obtained for the calculated density is 2.70 g/cm3. The raw formation energy comes out at -2.0246 eV per atom.

a = 6.7939 Å, b = 6.7939 Å, c = 12.4556 Å
α = 90.00°, β = 90.00°, γ = 120.00°
With the nearest neighbours (Å) after each atom.
Fractional positions:
Na 0.0000 0.0000 0.0000  6 Cl 2.93
Na 0.0000 0.0000 0.5000  6 Cl 2.93
Pm 0.3333 0.6667 0.2500  6 Cl 2.73
Pm 0.6667 0.3333 0.7500  6 Cl 2.73
Mg 0.3333 0.6667 0.7500  6 Cl 2.54
Mg 0.6667 0.3333 0.2500  6 Cl 2.54
Cl 0.0223 0.3670 0.6328  1 Mg 2.54, 1 Pm 2.73
Cl 0.0223 0.6552 0.8672  1 Mg 2.54, 1 Pm 2.73
Cl 0.3448 0.3670 0.8672  1 Mg 2.54, 1 Pm 2.73
Cl 0.3448 0.9777 0.6328  1 Mg 2.54, 1 Pm 2.73
Cl 0.3670 0.0223 0.1328  1 Mg 2.54, 1 Pm 2.73
Cl 0.3670 0.3448 0.3672  1 Mg 2.54, 1 Pm 2.73
Cl 0.6330 0.6552 0.6328  1 Mg 2.54, 1 Pm 2.73
Cl 0.6330 0.9777 0.8672  1 Mg 2.54, 1 Pm 2.73
Cl 0.6552 0.0223 0.3672  1 Mg 2.54, 1 Pm 2.73
Cl 0.6552 0.6330 0.1328  1 Mg 2.54, 1 Pm 2.73
Cl 0.9777 0.3448 0.1328  1 Mg 2.54, 1 Pm 2.73
Cl 0.9777 0.6330 0.3672  1 Mg 2.54, 1 Pm 2.73


(3)
PrYCdAu | PBE | optimized geometry

The value obtained for the calculated density is 8.52 g/cm3. For the formation energy from the elements, the calculation gives -0.564 eV/atom. For the offset from the most stable computed form, the calculation gives 0.0 meV per atom.

a = 3.7243 Å, b = 3.7243 Å, c = 7.5726 Å
α = 90.00°, β = 90.00°, γ = 90.00°
With the nearest neighbours (Å) after each atom.
Fractional positions:
Pr 0.0000 0.0000 0.0000  4 Au 3.31, 4 Cd 3.37, 1 Y 3.59
Y 0.0000 0.0000 0.4736  4 Au 3.07, 4 Cd 3.24
Cd 0.5000 0.5000 0.7234  4 Y 3.24, 4 Pr 3.37, 1 Au 3.47
Au 0.5000 0.5000 0.2649  4 Y 3.07, 4 Pr 3.31


(4)
CaBeCl2 | PBE | optimized geometry

The value obtained for the calculated density is 2.35 g/cm3. The raw formation energy comes out at -0.6606 eV per atom. For the offset from the most stable computed form, the calculation gives 389.8 meV per atom.

a = 3.9023 Å, b = 4.6532 Å, c = 4.6758 Å
α = 90.00°, β = 90.00°, γ = 90.00°
With the nearest neighbours (Å) after each atom.
Fractional positions:
Ca 0.0000 0.0000 0.0000  8 Cl 3.04-3.05, 4 Be 3.30
Be 0.0000 0.5000 0.5000  8 Cl 3.04-3.05, 4 Ca 3.30
Cl 0.5000 0.0000 0.5000  4 Be 3.04, 4 Ca 3.05, 4 Cl 3.30
Cl 0.5000 0.5000 0.0000  4 Ca 3.04, 4 Be 3.05, 4 Cl 3.30


(5)
CdBiBr3 | PBE | optimized geometry

The value obtained for the calculated density is 5.58 g/cm3. The raw formation energy comes out at -0.1748 eV per atom. For the offset from the most stable computed form, the calculation gives 351.1 meV per atom.

a = 5.5061 Å, b = 5.5061 Å, c = 5.5061 Å
α = 90.00°, β = 90.00°, γ = 90.00°
With the nearest neighbours (Å) after each atom.
Fractional positions:
Cd 0.0000 0.0000 0.0000  6 Br 2.75
Bi 0.5000 0.5000 0.5000  12 Br 3.89
Br 0.0000 0.0000 0.5000  2 Cd 2.75
Br 0.0000 0.5000 0.0000  2 Cd 2.75
Br 0.5000 0.0000 0.0000  2 Cd 2.75


(6)
CaGa2IrRh | PBE | optimized geometry

The value obtained for the calculated density is 8.48 g/cm3. For the formation energy from the elements, the calculation gives -0.647 eV/atom.

a = 4.3117 Å, b = 4.3117 Å, c = 10.0045 Å
α = 90.00°, β = 90.00°, γ = 90.00°
With the nearest neighbours (Å) after each atom.
Fractional positions:
Ca 0.0000 0.0000 0.0000  4 Ir 3.30, 4 Rh 3.30, 8 Ga 3.31
Ca 0.5000 0.5000 0.5000  4 Ir 3.30, 4 Rh 3.30, 8 Ga 3.31
Ga 0.0000 0.0000 0.3710  2 Rh 2.47, 2 Ir 2.47, 1 Ga 2.58
Ga 0.0000 0.0000 0.6290  2 Ir 2.47, 2 Rh 2.47, 1 Ga 2.58
Ga 0.5000 0.5000 0.1290  2 Ir 2.47, 2 Rh 2.47, 1 Ga 2.58
Ga 0.5000 0.5000 0.8710  2 Rh 2.47, 2 Ir 2.47, 1 Ga 2.58
Ir 0.0000 0.5000 0.7500  4 Ga 2.47
Ir 0.5000 0.0000 0.2500  4 Ga 2.47
Rh 0.0000 0.5000 0.2500  4 Ga 2.47
Rh 0.5000 0.0000 0.7500  4 Ga 2.47


(7)
LiTl3S4 | PBE | optimized geometry

The value obtained for the calculated density is 5.33 g/cm3. The raw formation energy comes out at -0.3271 eV per atom.

a = 6.1530 Å, b = 6.1530 Å, c = 6.1530 Å
α = 90.00°, β = 90.00°, γ = 90.00°
With the nearest neighbours (Å) after each atom.
Fractional positions:
Li 0.0000 0.0000 0.0000  4 S 2.57
Tl 0.0000 0.5000 0.5000  4 S 2.70
Tl 0.5000 0.0000 0.5000  4 S 2.70
Tl 0.5000 0.5000 0.0000  4 S 2.70
S 0.2409 0.2409 0.2409  1 Li 2.57, 3 Tl 2.70
S 0.2409 0.7591 0.7591  1 Li 2.57, 3 Tl 2.70
S 0.7591 0.2409 0.7591  1 Li 2.57, 3 Tl 2.70
S 0.7591 0.7591 0.2409  1 Li 2.57, 3 Tl 2.70


(8)
Re2HgCl | PBE | optimized geometry

The value obtained for the calculated density is 14.10 g/cm3. The raw formation energy comes out at 1.1890 eV per atom. For the offset from the most stable computed form, the calculation gives 1007.2 meV per atom.

a = 5.4037 Å, b = 10.3165 Å, c = 3.1117 Å
α = 90.00°, β = 124.31°, γ = 90.00°
With the nearest neighbours (Å) after each atom.
Fractional positions:
Re 0.2500 0.2500 0.0000  4 Re 2.70-2.74, 2 Hg 2.91, 2 Cl 2.91
Re 0.2500 0.7500 0.0000  4 Re 2.70-2.74, 2 Cl 2.91, 2 Hg 2.91
Re 0.7500 0.2500 0.0000  4 Re 2.70-2.74, 2 Hg 2.91, 2 Cl 2.91
Re 0.7500 0.7500 0.0000  4 Re 2.70-2.74, 2 Hg 2.91, 2 Cl 2.91
Hg 0.0000 0.0000 0.0000  4 Cl 2.70-2.74, 4 Re 2.91
Hg 0.5000 0.5000 0.0000  4 Cl 2.70-2.74, 4 Re 2.91
Cl 0.0000 0.5000 0.0000  4 Hg 2.70-2.74, 4 Re 2.91
Cl 0.5000 0.0000 0.0000  4 Hg 2.70-2.74, 4 Re 2.91